1.
! RbAgS4, relaxed, DFT GGA-PBE; values from VASP
! Total magnetization, μB per cell: 0.0
! Formation energy without anion corrections, eV/atom: -0.3008
! Volume, Å³/f.u.: 176.4
! Space-group type: P2_1/m (11)
&SYSTEM
  ibrav = 0, nat = 12, ntyp = 3
/
ATOMIC_SPECIES
S 32.06 S.upf
Ag 107.87 Ag.upf
Rb 85.47 Rb.upf
CELL_PARAMETERS angstrom
6.7608 0.0000 -3.8990
0.0000 6.9603 0.0000
-3.3698 0.0000 9.4407
ATOMIC_POSITIONS angstrom
S 1.2562 6.8534 5.4703
S -0.5527 5.2202 3.2429
S 2.1348 0.1069 0.0713
S 2.1348 3.3733 0.0713
S 1.2562 3.5870 5.4703
S 0.0157 5.2202 5.2451
S 3.3753 1.7401 0.2966
S 3.9438 1.7401 2.2988
Ag -0.3688 1.7401 5.9576
Ag 3.7598 5.2202 -0.4160
Rb 3.3491 5.2202 3.1546
Rb 0.0419 1.7401 2.3870


2.
! HoMg2Cd9, relaxed, DFT GGA-PBE; values from VASP
! Total magnetization, μB per cell: 0.0
! D(E_F), states/eV/cell: 7.0
! Total energy, eV per atom: -1.40
! Volume, Å³/f.u.: 272.0
! Space-group type: I4_1/amd (141)
&SYSTEM
  ibrav = 0, nat = 24, ntyp = 3
/
ATOMIC_SPECIES
Cd 112.41 Cd.upf
Ho 164.93 Ho.upf
Mg 24.30 Mg.upf
CELL_PARAMETERS angstrom
-7.5374 1.6021 0.5037
-4.5329 -4.7568 6.4954
-2.1108 6.8454 5.8352
ATOMIC_POSITIONS angstrom
Cd -7.0588 4.1930 4.8840
Cd -10.6236 1.2737 9.1028
Cd -2.8624 2.2692 3.6851
Cd -4.2421 4.7811 4.6470
Cd -5.6903 -2.1564 5.0417
Cd -6.8437 4.3101 7.7314
Cd -7.8175 -0.3546 7.9968
Cd -10.0405 4.0669 8.9439
Cd -5.5294 2.7699 2.6991
Cd -12.5325 4.6628 10.2747
Cd -5.4752 -2.0393 7.8891
Cd -8.9749 2.2459 6.5431
Cd -6.1125 -0.0233 2.8580
Cd -13.1156 1.8696 10.4336
Cd -3.4455 -0.5240 3.8440
Cd -8.0326 -0.4717 5.1495
Cd 0.0000 0.0000 0.0000
Cd -4.0269 4.8982 7.4943
Ho -3.7687 0.8011 0.2518
Ho -5.2062 1.4448 6.2913
Mg -10.5226 -0.4544 6.7711
Mg -7.8093 2.1672 9.4369
Mg -9.3116 5.3467 6.4410
Mg -8.2562 1.9240 3.5234


3.
! Re2TcHIr, relaxed, DFT GGA-PBE; values from VASP
! Total magnetization, μB per cell: 0.0
! Excess energy over the best structure of this formula in the dataset, meV per atom: 47
! D(E_F), states/eV/cell: 3.2
! Volume, Å³/f.u.: 61.0
! Space-group type: P4/mmm (123)
&SYSTEM
  ibrav = 0, nat = 5, ntyp = 4
/
ATOMIC_SPECIES
Ir 192.22 Ir.upf
Re 186.21 Re.upf
Tc 98.00 Tc.upf
H 1.01 H.upf
CELL_PARAMETERS angstrom
3.9469 0.0000 0.0000
0.0000 3.9469 0.0000
0.0000 0.0000 3.9156
ATOMIC_POSITIONS angstrom
Ir 0.0000 0.0000 1.9578
Re 0.0000 1.9734 0.0000
Re 1.9734 0.0000 0.0000
Tc 1.9734 1.9734 1.9578
H 0.0000 0.0000 0.0000


4.
! KSrCr2, relaxed, DFT GGA-PBE; values from VASP
! Total magnetization, μB per cell: 10.0
! Excess energy over the best structure of this formula in the dataset, meV per atom: 424
! D(E_F), states/eV/cell: 3.1
! Volume, Å³/f.u.: 129.7
! Space-group type: F-43m (216)
&SYSTEM
  ibrav = 0, nat = 4, ntyp = 3
/
ATOMIC_SPECIES
K 39.10 K.upf
Cr 52.00 Cr.upf
Sr 87.62 Sr.upf
CELL_PARAMETERS angstrom
5.6822 0.0000 0.0000
2.8411 4.9209 0.0000
2.8411 1.6403 4.6395
ATOMIC_POSITIONS angstrom
K 5.6822 3.2806 2.3197
Cr 2.8411 1.6403 1.1599
Cr 0.0000 0.0000 0.0000
Sr 8.5233 4.9209 3.4796


5.
! ThPaN, relaxed, DFT GGA-PBE; values from VASP
! Total magnetization, μB per cell: 0.0
! Excess energy over the best structure of this formula in the dataset, meV per atom: 142
! D(E_F), states/eV/cell: 17.3
! Formation energy without anion corrections, eV/atom: -0.5859
! Volume, Å³/f.u.: 64.6
! Space-group type: Pmn2_1 (31)
&SYSTEM
  ibrav = 0, nat = 12, ntyp = 3
/
ATOMIC_SPECIES
N 14.01 N.upf
Th 232.04 Th.upf
Pa 231.04 Pa.upf
CELL_PARAMETERS angstrom
3.4530 0.0000 0.0000
0.0000 7.2598 0.0000
0.0000 0.0000 10.3151
ATOMIC_POSITIONS angstrom
N 0.0000 1.1122 3.9741
N 1.7265 5.5060 5.3838
N 0.0000 1.7539 0.2263
N 1.7265 6.1476 9.1317
Th 1.7265 1.6770 2.2342
Th 1.7265 1.6300 8.5841
Th 0.0000 5.6298 3.4266
Th 0.0000 5.5828 7.3917
Pa 0.0000 6.6835 0.3135
Pa 0.0000 3.9663 0.1408
Pa 1.7265 3.2935 5.2984
Pa 1.7265 0.5763 5.4711


6.
! ScZnPtO4, relaxed, DFT GGA-PBE; values from VASP
! Total magnetization, μB per cell: 2.0
! D(E_F), states/eV/cell: 2.1
! Formation energy without anion corrections, eV/atom: -1.6844
! Volume, Å³/f.u.: 87.2
! Space-group type: Imma (74)
&SYSTEM
  ibrav = 0, nat = 14, ntyp = 4
/
ATOMIC_SPECIES
Sc 44.96 Sc.upf
O 16.00 O.upf
Zn 65.41 Zn.upf
Pt 195.08 Pt.upf
CELL_PARAMETERS angstrom
-4.4341 1.9766 3.8440
1.4290 -6.1387 -0.1826
4.0053 4.0022 2.5622
ATOMIC_POSITIONS angstrom
Sc -2.2170 0.9883 1.9220
Sc -0.2144 2.9894 3.2031
O -1.5228 -0.4230 3.4486
O -0.8352 -3.5887 3.1425
O 1.1745 -4.4846 1.4003
O 0.7368 -1.5217 1.6324
O 1.8354 3.4289 3.0810
O 0.2635 1.3618 4.5912
O -0.1743 4.3248 4.8233
O 2.5230 0.2632 2.7750
Zn -2.3049 -2.3805 3.5529
Zn 3.3052 2.2206 2.6707
Pt 0.5001 -0.0799 3.1118
Pt 2.7172 -1.0682 1.1898


Which formula does entry 4 have? KSrCr2